[1]
AuC3 after structural relaxation, computed with PBE.

Properties
ΔH_f (0 K) in eV per atom: 2.9730
Energy above the most stable polymorph in this dataset in meV/atom: 2112

Lattice parameters (Å, degrees): 4.442 4.442 14.348 90.00 90.00 120.00
Fractional positions:
Au 0.000 0.000 0.000
Au 0.000 0.000 0.500
Au 0.333 0.667 0.250
Au 0.667 0.333 0.750
C 0.000 0.500 0.000
C 0.000 0.500 0.500
C 0.224 0.448 0.750
C 0.224 0.776 0.750
C 0.448 0.224 0.250
C 0.500 0.000 0.000
C 0.500 0.000 0.500
C 0.500 0.500 0.000
C 0.500 0.500 0.500
C 0.552 0.776 0.750
C 0.776 0.224 0.250
C 0.776 0.552 0.250

---

[2]
Au2C after structural relaxation, computed with PBE.

Properties
ΔH_f (0 K) in eV per atom: 1.5317
Energy above the most stable polymorph in this dataset in meV/atom: 681

Lattice parameters (Å, degrees): 3.071 3.071 5.795 90.00 90.00 120.00
Fractional positions:
Au 0.000 0.000 0.243
Au 0.000 0.000 0.757
C 0.333 0.667 0.500

---

[3]
Au2C after structural relaxation, computed with PBE.

Properties
ΔH_f (0 K) in eV per atom: 1.5880
Energy above the most stable polymorph in this dataset in meV/atom: 737

Lattice parameters (Å, degrees): 3.737 3.737 7.917 90.00 90.00 120.00
Fractional positions:
Au 0.000 0.000 0.000
Au 0.000 0.000 0.500
Au 0.333 0.667 0.250
Au 0.667 0.333 0.750
C 0.333 0.667 0.750
C 0.667 0.333 0.250

---

[4]
Au4C3 after structural relaxation, computed with PBE.

Properties
ΔH_f (0 K) in eV per atom: 1.7326
Energy above the most stable polymorph in this dataset in meV/atom: 190

Lattice parameters (Å, degrees): 4.594 4.594 4.594 90.00 90.00 90.00
Fractional positions:
Au 0.000 0.000 0.000
Au 0.000 0.500 0.500
Au 0.500 0.000 0.500
Au 0.500 0.500 0.000
C 0.000 0.000 0.500
C 0.000 0.500 0.000
C 0.500 0.000 0.000

---

[5]
AuC after structural relaxation, computed with PBE.

Properties
ΔH_f (0 K) in eV per atom: 0.6344
Energy above the most stable polymorph in this dataset in meV/atom: 351

Lattice parameters (Å, degrees): 8.553 8.553 2.608 90.00 90.00 146.74
Fractional positions:
Au 0.250 0.750 0.750
Au 0.750 0.250 0.250
C 0.000 0.000 0.250
C 0.000 0.000 0.750

---

[6]
AuC3 after structural relaxation, computed with PBE.

Properties
ΔH_f (0 K) in eV per atom: 2.0919
Energy above the most stable polymorph in this dataset in meV/atom: 1231

Lattice parameters (Å, degrees): 3.262 3.262 6.325 90.00 90.00 135.31
Fractional positions:
Au 0.000 0.000 0.000
C 0.000 0.000 0.500
C 0.500 0.500 0.354
C 0.500 0.500 0.646

---

[7]
AuC after structural relaxation, computed with PBE.

Properties
ΔH_f (0 K) in eV per atom: 1.9161
Energy above the most stable polymorph in this dataset in meV/atom: 1633

Lattice parameters (Å, degrees): 5.752 5.752 5.752 109.47 109.47 109.47
Fractional positions:
Au 0.000 0.000 0.355
Au 0.000 0.355 0.000
Au 0.355 0.000 0.000
Au 0.645 0.645 0.645
C 0.000 0.000 0.702
C 0.000 0.702 0.000
C 0.298 0.298 0.298
C 0.702 0.000 0.000

---

[8]
AuC3 after structural relaxation, computed with PBE.

Properties
ΔH_f (0 K) in eV per atom: 1.3357
Energy above the most stable polymorph in this dataset in meV/atom: 475

Lattice parameters (Å, degrees): 6.806 5.412 6.183 90.00 90.00 90.00
Fractional positions:
Au 0.130 0.250 0.240
Au 0.370 0.750 0.740
Au 0.630 0.250 0.260
Au 0.870 0.750 0.760
C 0.134 0.622 0.180
C 0.134 0.878 0.180
C 0.135 0.750 0.980
C 0.365 0.250 0.480
C 0.366 0.122 0.680
C 0.366 0.378 0.680
C 0.634 0.622 0.320
C 0.634 0.878 0.320
C 0.635 0.750 0.520
C 0.865 0.250 0.020
C 0.866 0.122 0.820
C 0.866 0.378 0.820

---

[9]
Au4C5 after structural relaxation, computed with PBE.

Properties
ΔH_f (0 K) in eV per atom: 2.3983
Energy above the most stable polymorph in this dataset in meV/atom: 1125

Lattice parameters (Å, degrees): 6.438 6.438 6.492 90.00 90.00 120.00
Fractional positions:
Au 0.000 0.000 0.000
Au 0.000 0.000 0.500
Au 0.000 0.467 0.250
Au 0.000 0.533 0.750
Au 0.467 0.000 0.250
Au 0.467 0.467 0.750
Au 0.533 0.000 0.750
Au 0.533 0.533 0.250
C 0.000 0.212 0.750
C 0.000 0.788 0.250
C 0.212 0.000 0.750
C 0.212 0.212 0.250
C 0.333 0.667 0.000
C 0.333 0.667 0.500
C 0.667 0.333 0.000
C 0.667 0.333 0.500
C 0.788 0.000 0.250
C 0.788 0.788 0.750

---

[10]
Au2C after structural relaxation, computed with PBE.

Properties
ΔH_f (0 K) in eV per atom: 1.4668
Energy above the most stable polymorph in this dataset in meV/atom: 616

Lattice parameters (Å, degrees): 6.398 6.398 2.977 90.00 90.00 113.19
Fractional positions:
Au 0.000 0.000 0.000
Au 0.217 0.783 0.500
Au 0.500 0.500 0.500
Au 0.783 0.217 0.500
C 0.357 0.643 0.000
C 0.643 0.357 0.000

---

[11]
AuC after structural relaxation, computed with PBE.

Properties
ΔH_f (0 K) in eV per atom: 2.3217
Energy above the most stable polymorph in this dataset in meV/atom: 2039

Lattice parameters (Å, degrees): 6.024 6.024 2.838 90.00 90.00 120.00
Fractional positions:
Au 0.000 0.500 0.000
Au 0.500 0.000 0.000
Au 0.500 0.500 0.000
C 0.000 0.000 0.000
C 0.333 0.667 0.500
C 0.667 0.333 0.500